Record 1
The following is a SCAN calculation of a PBEsol-optimized structure of ScCdIn3, from the Alexandria database.

a b c (Å): 5.2807 5.2807 5.2807
angles (deg): 90.00 90.00 90.00
With the nearest neighbours (Å) after each atom.
Space group Pm-3m (No. 221)
Symmetry-distinct sites (fractional):
Sc 0.0000 0.0000 0.0000 x1  12 In 3.73
Cd 0.5000 0.5000 0.5000 x1  6 In 2.64
In 0.0000 0.5000 0.5000 x3  2 Cd 2.64

Calculated values
Its density is 5659 kg/m3. Its total DFT energy (no corrections) is -28.444 eV/atom. The value obtained for the total magnetic moment is 0.000 Bohr magnetons per cell.

---

Record 2
The following is a SCAN calculation of a PBEsol-optimized structure of ScCdIn, from the Alexandria database.

a b c (Å): 4.7767 4.7767 3.2385
angles (deg): 90.00 90.00 120.00
With the nearest neighbours (Å) after each atom.
Space group P-6m2 (No. 187)
Symmetry-distinct sites (fractional):
Sc 0.0000 0.0000 0.0000 x1  6 In 3.20, 6 Cd 3.20, 2 Sc 3.24
Cd 0.6667 0.3333 0.5000 x1  3 In 2.76
In 0.3333 0.6667 0.5000 x1  3 Cd 2.76

Calculated values
Its density is 7063 kg/m3. Its total DFT energy (no corrections) is -26.433 eV/atom. The value obtained for the total magnetic moment is 0.014 Bohr magnetons per cell.